(1)
Material: KCdCl3
Method: DFT, GGA-PBEsol
State: optimized geometry

## Properties
**Formation energy from raw total energies**: -139.6 kJ per mole of atoms
**Total moment**: 0.00 μB per formula unit
**V**: 125 Å³/f.u.

a = 3.978 Å, b = 8.680 Å, c = 14.536 Å
α = 90.00°, β = 90.00°, γ = 90.00°
Atoms (fractional coordinates):
Cd1 0.750 0.828 0.944
Cd2 0.750 0.328 0.556
Cl1 0.250 0.023 0.897
Cl2 0.750 0.706 0.788
Cl3 0.750 0.338 0.991
Cl4 0.750 0.206 0.712
Cd3 0.250 0.172 0.056
Cl5 0.250 0.794 0.288
Cl6 0.750 0.838 0.509
Cl7 0.750 0.977 0.103
Cl8 0.250 0.523 0.603
Cl9 0.750 0.477 0.397
Cl10 0.250 0.162 0.491
K1 0.250 0.426 0.822
K2 0.250 0.926 0.678
Cl11 0.250 0.662 0.009
K3 0.750 0.074 0.322
Cl12 0.250 0.294 0.212
K4 0.750 0.574 0.178
Cd4 0.250 0.672 0.444

=====

(2)
Material: CaAg2Cl
Method: DFT, GGA-PBEsol
State: optimized geometry

## Properties
**Formation energy from raw total energies**: -64.6 kJ per mole of atoms
**Total moment**: 0.00 μB per formula unit
**V**: 90 Å³/f.u.

a = 3.654 Å, b = 3.673 Å, c = 6.936 Å
α = 90.00°, β = 105.34°, γ = 90.00°
Atoms (fractional coordinates):
Ca1 0.448 0.000 0.519
Ag1 0.232 0.000 0.091
Cl1 0.032 0.500 0.685
Ag2 0.789 0.500 0.205

=====

(3)
Material: NaCa3Pt
Method: DFT, GGA-PBEsol
State: optimized geometry

## Properties
**Total moment**: 0.00 μB per formula unit
**E_form**: -0.433 eV/atom
**V**: 155 Å³/f.u.

a = 3.954 Å, b = 8.676 Å, c = 9.239 Å
α = 101.43°, β = 90.00°, γ = 90.00°
Atoms (fractional coordinates):
Ca1 0.250 0.028 0.656
Pt1 0.250 0.736 0.401
Ca2 0.750 0.972 0.344
Ca3 0.750 0.657 0.600
Ca4 0.250 0.416 0.812
Pt2 0.750 0.264 0.599
Na1 0.250 0.831 0.984
Ca5 0.250 0.343 0.400
Ca6 0.750 0.584 0.188
Na2 0.750 0.169 0.016

=====

(4)
Material: Cr3ReRh
Method: DFT, GGA-PBEsol
State: optimized geometry

## Properties
**Total moment**: 7.89 μB per formula unit
**E_form**: 1.755 eV/atom
**V**: 90 Å³/f.u.

a = 4.488 Å, b = 4.488 Å, c = 4.488 Å
α = 90.00°, β = 90.00°, γ = 90.00°
Atoms (fractional coordinates):
Rh1 0.500 0.500 0.500
Re1 0.000 0.000 0.000
Cr1 0.000 0.500 0.000
Cr2 0.500 0.000 0.000
Cr3 0.000 0.000 0.500

=====

(5)
Material: HgSb2TeF
Method: DFT, GGA-PBEsol
State: optimized geometry

## Properties
**Formation energy from raw total energies**: 55.9 kJ per mole of atoms
**Total moment**: 0.00 μB per formula unit
**V**: 164 Å³/f.u.

a = 5.468 Å, b = 5.468 Å, c = 5.481 Å
α = 90.00°, β = 90.00°, γ = 90.00°
Atoms (fractional coordinates):
Sb1 0.500 0.000 0.000
Hg1 0.000 0.000 0.000
Sb2 0.000 0.500 0.000
Te1 0.000 0.000 0.500
F1 0.500 0.500 0.500

=====

(6)
Material: NaIrS2
Method: DFT, GGA-PBEsol
State: optimized geometry

## Properties
**Formation energy from raw total energies**: -43.5 kJ per mole of atoms
**Total moment**: 0.00 μB per formula unit
**V**: 81 Å³/f.u.

a = 5.966 Å, b = 5.966 Å, c = 5.966 Å
α = 107.19°, β = 107.19°, γ = 114.14°
Atoms (fractional coordinates):
Na1 0.500 0.500 0.000
S1 0.125 0.721 0.096
S2 0.279 0.375 0.404
Na2 0.750 0.250 0.500
S3 0.625 0.029 0.904
Ir1 0.000 0.000 0.000
S4 0.971 0.875 0.596
Ir2 0.250 0.750 0.500

=====

(7)
Material: Pt2WSe
Method: DFT, GGA-PBEsol
State: optimized geometry

## Properties
**Formation energy from raw total energies**: 16.0 kJ per mole of atoms
**Total moment**: 0.00 μB per formula unit
**V**: 63 Å³/f.u.

a = 2.797 Å, b = 4.038 Å, c = 5.577 Å
α = 90.00°, β = 92.90°, γ = 90.00°
Atoms (fractional coordinates):
W1 0.500 0.500 0.500
Pt1 0.036 0.000 0.736
Se1 0.500 0.500 0.000
Pt2 0.964 0.000 0.264

=====

(8)
Material: Zn5Pd3
Method: DFT, GGA-PBEsol
State: optimized geometry

## Properties
**Total moment**: 0.00 μB per formula unit
**E_form**: -0.427 eV/atom
**V**: 110 Å³/f.u.

a = 3.040 Å, b = 3.040 Å, c = 11.861 Å
α = 90.00°, β = 90.00°, γ = 90.00°
Atoms (fractional coordinates):
Pd1 0.500 0.500 0.500
Pd2 0.500 0.500 0.751
Zn1 0.000 0.000 0.875
Zn2 0.000 0.000 0.626
Zn3 0.500 0.500 0.000
Zn4 0.000 0.000 0.374
Pd3 0.500 0.500 0.249
Zn5 0.000 0.000 0.125

=====

- Which formula does entry 1 have?
  KCdCl3